DFT (PBE-GGA) results for crystalline Re2SiHg at its relaxed geometry.

Cell lengths 2.999, 2.999, 7.021 Å; angles 90.00, 90.00, 90.00 degrees
Fractional positions:
1 Hg 0.500 0.500 0.750
2 Si 0.500 0.500 0.250
3 Re 0.000 0.000 0.441
4 Re 0.000 0.000 0.059

Offset from the most stable computed form ... 37.3 meV/atom
Magnetic moment ... 0.00 μB/f.u.

---

DFT (PBE-GGA) results for crystalline ReSiHg2 at its relaxed geometry.

Cell lengths 2.843, 4.838, 5.372 Å; angles 90.00, 90.00, 90.00 degrees
Fractional positions:
1 Re 0.500 0.500 0.250
2 Si 0.500 0.500 0.750
3 Hg 0.000 0.000 0.498
4 Hg 0.000 0.000 0.002

Total DFT energy (no corrections) ... -0.274 Ry per atom
Magnetic moment ... 0.00 μB/f.u.

---

DFT (PBE-GGA) results for crystalline Re2SiHg at its relaxed geometry.

Cell lengths 4.732, 4.732, 4.976 Å; angles 84.62, 84.62, 36.75 degrees
Fractional positions:
1 Si 0.516 0.516 0.445
2 Hg 0.737 0.737 0.751
3 Re 0.990 0.990 0.057
4 Re 0.257 0.257 0.247

Offset from the most stable computed form ... 322.7 meV/atom
Magnetic moment ... 0.00 μB/f.u.

---

DFT (PBE-GGA) results for crystalline Re2SiHg at its relaxed geometry.

Cell lengths 2.826, 2.826, 8.918 Å; angles 90.00, 90.00, 115.57 degrees
Fractional positions:
1 Re 0.000 0.000 0.035
2 Hg 0.500 0.500 0.750
3 Si 0.500 0.500 0.250
4 Re 0.000 0.000 0.465

Offset from the most stable computed form ... 222.7 meV/atom
Magnetic moment ... 0.00 μB/f.u.

---

- magnetic moment of number 4 (Re2SiHg)?
  0.00 μB/f.u.